P) Density functional theory data (PBE) for crystalline DyCdHg4 at its relaxed geometry.

Calculated values
crystal system: orthorhombic
DOS(E_F): 0.542 states/eV per atom

Unit cell a=6.199 b=8.515 c=6.552 alpha=90.00 beta=121.97 gamma=90.00
Fractional positions:
1 Dy 0.904 0.000 0.118
2 Dy 0.431 0.500 0.882
3 Cd 0.447 0.500 0.390
4 Cd 0.887 0.000 0.610
5 Hg 0.920 0.670 0.373
6 Hg 0.414 0.830 0.627
7 Hg 0.414 0.830 0.119
8 Hg 0.920 0.670 0.881
9 Hg 0.920 0.330 0.881
10 Hg 0.414 0.170 0.119
11 Hg 0.414 0.170 0.627
12 Hg 0.920 0.330 0.373

---

Q) Density functional theory data (PBE) for crystalline DyCdHg4 at its relaxed geometry.

Calculated values
crystal system: tetragonal
DOS(E_F): 0.475 states/eV per atom

Unit cell a=4.503 b=4.501 c=8.443 alpha=89.99 beta=89.99 gamma=90.01
Fractional positions:
1 Dy 0.501 0.497 0.998
2 Cd 0.001 0.998 0.498
3 Hg 0.501 0.997 0.251
4 Hg 0.501 0.997 0.745
5 Hg 0.001 0.497 0.745
6 Hg 0.001 0.497 0.251

---

Structures ranked by computed energy, the most stable listed first: P), Q).

---

P) Density functional theory data (PBE) for crystalline Dy2Cd2Hg at its relaxed geometry.

Calculated values
crystal system: orthorhombic
DOS(E_F): 0.969 states/eV per atom

Unit cell a=3.424 b=4.761 c=8.022 alpha=72.74 beta=90.00 gamma=90.00
Fractional positions:
1 Dy 0.500 0.389 0.223
2 Dy 0.500 0.611 0.777
3 Cd 0.000 0.200 0.600
4 Cd 0.000 0.800 0.400
5 Hg 0.000 0.000 0.000

---

Q) Density functional theory data (PBE) for crystalline Dy2Cd2Hg at its relaxed geometry.

Calculated values
crystal system: orthorhombic
DOS(E_F): 0.945 states/eV per atom

Unit cell a=5.886 b=6.316 c=8.355 alpha=112.21 beta=110.62 gamma=90.00
Fractional positions:
1 Dy 0.323 0.497 0.647
2 Dy 0.677 0.503 0.353
3 Dy 0.177 0.850 0.353
4 Dy 0.823 0.150 0.647
5 Cd 0.901 0.759 0.802
6 Cd 0.099 0.241 0.198
7 Cd 0.599 0.957 0.198
8 Cd 0.401 0.043 0.802
9 Hg 0.750 0.500 0.000
10 Hg 0.250 0.500 0.000

---

Structures ranked by computed energy, the most stable listed first: P), Q).

---

P) Density functional theory data (PBE) for crystalline DyCd7Hg12 at its relaxed geometry.

Calculated values
crystal system: trigonal
DOS(E_F): 0.308 states/eV per atom

Unit cell a=8.351 b=8.351 c=8.351 alpha=103.76 beta=103.76 gamma=103.76
Fractional positions:
1 Dy 0.000 0.000 0.000
2 Cd 0.885 0.601 0.760
3 Cd 0.399 0.240 0.115
4 Cd 0.240 0.115 0.399
5 Cd 0.500 0.500 0.500
6 Cd 0.760 0.885 0.601
7 Cd 0.601 0.760 0.885
8 Cd 0.115 0.399 0.240
9 Hg 0.981 0.296 0.833
10 Hg 0.704 0.167 0.019
11 Hg 0.632 0.174 0.476
12 Hg 0.826 0.524 0.368
13 Hg 0.167 0.019 0.704
14 Hg 0.524 0.368 0.826
15 Hg 0.476 0.632 0.174
16 Hg 0.833 0.981 0.296
17 Hg 0.174 0.476 0.632
18 Hg 0.368 0.826 0.524
19 Hg 0.296 0.833 0.981
20 Hg 0.019 0.704 0.167

---

Q) Density functional theory data (PBE) for crystalline DyCd7Hg12 at its relaxed geometry.

Calculated values
crystal system: trigonal
DOS(E_F): 0.338 states/eV per atom

Unit cell a=9.261 b=8.522 c=8.522 alpha=72.35 beta=68.76 gamma=111.24
Fractional positions:
1 Dy 0.000 0.000 0.000
2 Cd 0.038 0.353 0.098
3 Cd 0.864 0.902 0.451
4 Cd 0.315 0.451 0.647
5 Cd 0.500 0.000 0.000
6 Cd 0.685 0.549 0.353
7 Cd 0.136 0.098 0.549
8 Cd 0.962 0.647 0.902
9 Hg 0.571 0.253 0.233
10 Hg 0.196 0.767 0.485
11 Hg 0.284 0.196 0.105
12 Hg 0.611 0.895 0.301
13 Hg 0.682 0.485 0.747
14 Hg 0.912 0.301 0.804
15 Hg 0.088 0.699 0.196
16 Hg 0.318 0.515 0.253
17 Hg 0.389 0.105 0.699
18 Hg 0.716 0.804 0.895
19 Hg 0.804 0.233 0.515
20 Hg 0.429 0.747 0.767

---

Structures ranked by computed energy, the most stable listed first: P), Q).